(1)
Below is a geometry-optimized TbDy4TmSe8 structure, with properties calculated at the PBE level.

Output
Formation energy without anion corrections, kJ/mol of formula units: -2309.5
Magnetization, μB per formula unit: 0.000

The structure in POSCAR format:
```
TbDy4TmSe8
1.0
8.408 0.000 0.000
4.204 7.281 0.000
4.204 2.427 6.851
Dy Se Tm Tb
4 8 1 1
Cartesian
8.408 4.854 0.869
14.711 8.493 3.425
10.512 8.493 3.425
12.612 4.857 3.425
6.163 6.150 1.738
10.653 6.150 1.738
12.612 7.281 4.998
8.408 2.262 1.738
10.660 3.554 5.109
8.408 7.455 5.109
6.155 3.554 5.109
4.204 2.427 1.866
12.612 7.281 0.001
8.408 4.854 5.985
```

---

(2)
Below is a geometry-optimized CdF structure, with properties calculated at the PBE level.

Output
Formation energy without anion corrections, kJ/mol of formula units: -289.4
Magnetization, μB per formula unit: 0.000

The structure in POSCAR format:
```
CdF
1.0
-1.571 -2.499 -1.834
4.142 -0.157 -3.335
5.104 -8.144 6.723
Cd F
6 6
Cartesian
4.095 -7.012 2.753
2.038 -3.730 0.043
0.328 -1.292 -1.814
3.871 -1.749 -0.933
5.580 -4.187 0.924
6.918 -6.611 3.081
3.422 -5.272 4.252
1.923 -2.881 2.277
3.543 -5.389 1.014
3.985 -2.598 -3.167
2.366 -0.090 -1.905
7.590 -8.350 1.582
```